AcPrHg4 | the Alexandria database | PBE | relaxed; calculated density = 11.6 g/cm³; symmetry = Pmmm; calculated formation energy = -443.3 meV per atom; magnetic moment = 0.00 μB per atom; D(E_F) = 5.09 states/eV/f.u.; VASP energy = -2.126 eV per atom; energy relative to the lowest polymorph listed for this composition = 0 meV per atom
1.0
3.691 0.000 0.000
0.000 5.153 0.000
0.000 0.000 8.804
Ac Pr Hg
1 1 4
Cartesian
0.000 0.000 0.000
0.000 2.576 4.402
1.846 0.000 2.967
1.846 0.000 5.837
1.846 2.576 1.516
1.846 2.576 7.288

Li12Cd5Hg2 | the Alexandria database | PBE | relaxed; calculated density = 4.8 g/cm³; symmetry = C2/m; calculated formation energy = -201.4 meV per atom; magnetic moment = 0.00 μB per atom; D(E_F) = 6.85 states/eV/f.u.; VASP energy = -1.683 eV per atom; energy relative to the lowest polymorph listed for this composition = 16 meV per atom
1.0
6.607 -3.940 0.000
6.607 3.940 0.000
-0.208 0.000 6.895
Li Cd Hg
12 5 2
Cartesian
0.639 0.000 2.208
4.836 2.339 2.259
4.420 1.465 5.183
8.169 2.339 4.635
5.455 0.000 0.792
8.586 1.465 1.711
4.420 -1.465 5.183
7.550 0.000 6.102
4.836 -2.339 2.259
8.586 -1.465 1.711
8.169 -2.339 4.635
12.367 0.000 4.686
2.722 0.000 0.037
3.354 0.000 2.984
6.503 0.000 3.447
9.652 0.000 3.911
10.284 0.000 6.857
6.607 2.351 0.000
6.607 -2.351 0.000

TaPbAu | the Alexandria database | PBE | relaxed; calculated density = 15.1 g/cm³; symmetry = Imm2; calculated formation energy = 393.7 meV per atom; magnetic moment = 0.00 μB per atom; D(E_F) = 1.85 states/eV/f.u.; VASP energy = -5.886 eV per atom
1.0
-1.513 2.015 5.284
1.513 -2.015 5.284
1.513 2.015 -5.284
Ta Pb Au
1 1 1
Cartesian
0.000 0.000 0.000
0.000 0.000 3.273
0.000 0.000 6.580

TlP | the Alexandria database | PBE | relaxed; calculated density = 7.4 g/cm³; symmetry = P2_1/m; calculated formation energy = 60.1 meV per atom; magnetic moment = 0.00 μB per atom; D(E_F) = 0.58 states/eV/f.u.; VASP energy = -3.828 eV per atom
1.0
5.594 0.000 0.000
0.000 3.316 0.000
-2.082 0.000 5.713
Tl P
2 2
Cartesian
0.433 0.829 1.715
3.079 2.487 3.998
0.339 0.829 5.089
3.173 2.487 0.624

PrPuPd4 | the Alexandria database | PBE | relaxed; calculated density = 11.4 g/cm³; symmetry = F-43m; calculated formation energy = -633.3 meV per atom; magnetic moment = 0.90 μB per atom; D(E_F) = 18.59 states/eV/f.u.; VASP energy = -7.280 eV per atom
1.0
0.000 3.895 3.895
3.895 0.000 3.895
3.895 3.895 0.000
Pr Pu Pd
1 1 4
Cartesian
0.000 0.000 0.000
5.842 5.842 5.842
2.925 2.925 2.925
4.864 4.864 2.925
4.864 2.925 4.864
2.925 4.864 4.864

Cs2LiPtF6 | the Alexandria database | PBE | relaxed; calculated density = 5.1 g/cm³; symmetry = P-3m1; formation energy from raw total energies = -21.978 eV per formula unit; magnetic moment = 0.10 μB per atom; D(E_F) = 6.85 states/eV/f.u.; VASP energy = -4.287 eV per atom; energy relative to the lowest polymorph listed for this composition = 0 meV per atom
1.0
6.353 0.000 0.000
-3.176 5.502 0.000
0.000 0.000 5.397
Cs Li Pt F
2 1 1 6
Cartesian
0.000 3.668 1.270
3.176 1.834 4.127
0.000 0.000 0.000
0.000 0.000 2.699
0.000 1.596 4.059
-1.794 4.704 4.059
1.382 0.798 1.338
1.794 4.704 4.059
4.971 0.798 1.338
3.176 3.906 1.338

Ce2ZnH6Ru | the Alexandria database | PBE | relaxed; calculated density = 6.0 g/cm³; symmetry = R-3m; magnetic moment = 0.26 μB per atom; D(E_F) = 13.64 states/eV/f.u.; VASP energy = -4.591 eV per atom
1.0
2.344 1.353 13.161
-2.344 1.353 13.161
0.000 -2.707 13.161
Ce Zn H Ru
4 2 12 2
Cartesian
0.000 0.000 5.071
0.000 0.000 11.646
0.000 0.000 27.836
0.000 0.000 34.411
0.000 0.000 16.551
0.000 0.000 22.930
-1.252 -0.723 18.798
0.000 -1.285 14.125
-1.113 0.642 14.125
-1.113 -0.642 25.357
0.000 -1.446 20.683
-1.252 0.723 20.683
1.252 -0.723 18.798
0.000 1.446 18.798
1.113 0.642 14.125
1.113 -0.642 25.357
0.000 1.285 25.357
1.252 0.723 20.683
0.000 0.000 0.000
0.000 0.000 19.741

YEr3Cu2 | the Alexandria database | PBE | relaxed; calculated density = 8.2 g/cm³; symmetry = Pmc2_1; calculated formation energy = -180.4 meV per atom; magnetic moment = 0.00 μB per atom; D(E_F) = 6.15 states/eV/f.u.; VASP energy = -4.905 eV per atom; energy relative to the lowest polymorph listed for this composition = 0 meV per atom
1.0
4.863 0.000 0.000
0.000 8.623 0.000
0.000 0.000 6.893
Y Er Cu
2 6 4
Cartesian
0.000 0.649 0.000
0.000 7.974 3.447
0.000 2.890 4.331
0.000 5.732 0.885
2.431 1.455 2.351
2.431 3.658 6.670
2.431 4.965 3.223
2.431 7.167 5.798
0.000 3.022 1.575
0.000 5.600 5.021
2.431 1.299 5.105
2.431 7.324 1.658

- The highest VASP energy belongs to which entry?
  Li12Cd5Hg2